(1)
# Mo2RuRhC

A relaxed Mo2RuRhC crystal (PBE-GGA, Alexandria via LeMat-Bulk).

a b c (Å): 4.1166 4.1166 4.0190
angles (deg): 90.00 90.00 90.00
Atoms (fractional coordinates):
1 Mo 0.0000 0.5000 0.0000
2 Mo 0.5000 0.0000 0.0000
3 Ru 0.0000 0.0000 0.5000
4 Rh 0.5000 0.5000 0.5000
5 C 0.0000 0.0000 0.0000

Total magnetization   0.00 Bohr magnetons per cell
Space group   P4/mmm
Calculated formation energy   0.10 eV/atom
Crystal system   tetragonal

***

(2)
# Ca5AcCd6

A relaxed Ca5AcCd6 crystal (PBE-GGA, Alexandria via LeMat-Bulk).

a b c (Å): 5.5128 7.7795 8.6823
angles (deg): 90.00 108.61 90.00
Atoms (fractional coordinates):
1 Ca 0.0000 0.0000 0.0000
2 Ca 0.3304 0.5000 0.6635
3 Ca 0.3334 0.0000 0.6706
4 Ca 0.6666 0.0000 0.3294
5 Ca 0.6696 0.5000 0.3365
6 Ac 0.0000 0.5000 0.0000
7 Cd 0.1739 0.2439 0.3412
8 Cd 0.1739 0.7561 0.3412
9 Cd 0.5000 0.2415 0.0000
10 Cd 0.5000 0.7585 0.0000
11 Cd 0.8261 0.2439 0.6588
12 Cd 0.8261 0.7561 0.6588

Total magnetization   0.00 Bohr magnetons per cell
Space group   P2/m
Calculated formation energy   -0.35 eV/atom
Crystal system   monoclinic